# 1
The following is a PBE-GGA calculation of a relaxed structure of BeCu, from Alexandria via LeMat-Bulk.

Computed properties:
Volume in Å³ per cell: 40.6
Space-group type: Fd-3m (227)
Energy of formation from the pure elements in meV/atom: 26
Density of states at the Fermi level in states/eV/cell: 1.34

abc: 3.858 3.858 3.858
angles: 60.00 60.00 60.00
Fractional coordinates of all 4 atoms:
Be: 0.125 0.125 0.125
Be: 0.875 0.875 0.875
Cu: 0.375 0.375 0.375
Cu: 0.625 0.625 0.625

# 2
The following is a PBE-GGA calculation of a relaxed structure of BeCu, from Alexandria via LeMat-Bulk.

Computed properties:
Volume in Å³ per cell: 156.3
Space-group type: I-43m (217)
Energy of formation from the pure elements in meV/atom: 1027
Density of states at the Fermi level in states/eV/cell: 4.53

abc: 5.877 5.877 5.877
angles: 109.47 109.47 109.47
Fractional coordinates of all 8 atoms:
Be: 0.000 0.000 0.618
Be: 0.000 0.618 0.000
Be: 0.382 0.382 0.382
Be: 0.618 0.000 0.000
Cu: 0.000 0.000 0.260
Cu: 0.000 0.260 0.000
Cu: 0.260 0.000 0.000
Cu: 0.740 0.740 0.740

# 3
The following is a PBE-GGA calculation of a relaxed structure of Be3Cu, from Alexandria via LeMat-Bulk.

Computed properties:
Volume in Å³ per cell: 35.9
Space-group type: P2/m (10)
Energy of formation from the pure elements in meV/atom: -18
Density of states at the Fermi level in states/eV/cell: 0.63

abc: 2.309 3.612 4.413
angles: 90.00 102.38 90.00
Fractional coordinates of all 4 atoms:
Be: 0.000 0.000 0.000
Be: 0.210 0.500 0.764
Be: 0.790 0.500 0.236
Cu: 0.500 0.000 0.500